{"formula": "Pm6AlCu2", "functional": "PBE", "state": "relaxed", "e_form_ev_per_atom": -0.146, "magmom_total_mub_per_atom": 0.0000, "space_group": "No. 71", "e_tot_ev_per_atom": -4.64, "cell": [[-4.7992, 5.0555, 5.1529], [4.7992, -5.0555, 5.1529], [4.7992, 5.0555, -5.1529]], "species": ["Pm", "Pm", "Pm", "Pm", "Pm", "Pm", "Pm", "Pm", "Pm", "Pm", "Pm", "Pm", "Al", "Al", "Cu", "Cu", "Cu", "Cu"], "fractional_positions": [[0.0476, 0.2414, 0.8062], [0.1815, 0.2755, 0.4569], [0.1815, 0.7245, 0.9060], [0.3235, 0.0247, 0.7013], [0.3235, 0.6222, 0.2987], [0.4352, 0.2414, 0.1938], [0.5648, 0.7586, 0.8062], [0.6765, 0.3778, 0.7013], [0.6765, 0.9753, 0.2987], [0.8185, 0.2755, 0.0940], [0.8185, 0.7245, 0.5431], [0.9524, 0.7586, 0.1938], [0.0000, 0.0000, 0.0000], [0.5000, 0.5000, 0.0000], [0.1191, 0.6191, 0.5000], [0.3495, 0.0000, 0.3495], [0.6505, 0.0000, 0.6505], [0.8809, 0.3809, 0.5000]]}

***

{"formula": "HgAs2Ru", "functional": "PBE", "state": "relaxed", "e_form_ev_per_atom": 0.543, "magmom_total_mub_per_atom": 0.0001, "space_group": "No. 119", "e_tot_ev_per_atom": -4.18, "cell": [[-2.0321, 2.0321, 4.3285], [2.0321, -2.0321, 4.3285], [2.0321, 2.0321, -4.3285]], "species": ["Hg", "As", "As", "Ru"], "fractional_positions": [[0.0000, 0.0000, 0.0000], [0.5000, 0.5000, 0.0000], [0.7500, 0.2500, 0.5000], [0.2500, 0.7500, 0.5000]]}

***

{"formula": "YHf3Ge", "functional": "PBE", "state": "relaxed", "e_form_ev_per_atom": 0.249, "magmom_total_mub_per_atom": 0.0000, "space_group": "No. 221", "e_tot_ev_per_atom": -7.94, "relative_energy_mev_per_atom": 0, "cell": [[5.0748, 0.0000, 0.0000], [0.0000, 5.0748, 0.0000], [0.0000, 0.0000, 5.0748]], "species": ["Y", "Hf", "Hf", "Hf", "Ge"], "fractional_positions": [[0.0000, 0.0000, 0.0000], [0.0000, 0.5000, 0.5000], [0.5000, 0.0000, 0.5000], [0.5000, 0.5000, 0.0000], [0.5000, 0.5000, 0.5000]]}

***

{"formula": "Li2Al8Pd", "functional": "PBE", "state": "relaxed", "e_form_ev_per_atom": -0.172, "magmom_total_mub_per_atom": 0.0000, "space_group": "No. 12", "e_tot_ev_per_atom": -3.71, "relative_energy_mev_per_atom": 67, "cell": [[8.3925, -2.0339, 0.0000], [8.3925, 2.0339, 0.0000], [-0.3434, 0.0000, 5.5452]], "species": ["Li", "Li", "Al", "Al", "Al", "Al", "Al", "Al", "Al", "Al", "Pd"], "fractional_positions": [[0.2057, 0.2057, 0.0965], [0.7943, 0.7943, 0.9035], [0.0247, 0.0247, 0.2297], [0.2017, 0.2017, 0.6038], [0.3632, 0.3632, 0.6728], [0.3885, 0.3885, 0.1606], [0.6115, 0.6115, 0.8394], [0.6368, 0.6368, 0.3272], [0.7983, 0.7983, 0.3962], [0.9753, 0.9753, 0.7703], [0.5000, 0.5000, 0.5000]]}

***

{"formula": "Ho3TmPu3S8", "functional": "PBE", "state": "relaxed", "magmom_total_mub_per_atom": 1.1335, "space_group": "No. 166", "e_tot_ev_per_atom": -8.22, "e_form_raw_mev_per_atom": -1939, "cell": [[3.9096, 2.2572, 6.4123], [-3.9096, 2.2572, 6.4123], [0.0000, -4.5144, 6.4123]], "species": ["Ho", "Ho", "Ho", "Tm", "Pu", "Pu", "Pu", "S", "S", "S", "S", "S", "S", "S", "S"], "fractional_positions": [[0.0000, 0.5000, 0.5000], [0.5000, 0.0000, 0.5000], [0.5000, 0.5000, 0.0000], [0.0000, 0.0000, 0.0000], [0.0000, 0.0000, 0.5000], [0.0000, 0.5000, 0.0000], [0.5000, 0.0000, 0.0000], [0.2464, 0.2464, 0.7490], [0.2464, 0.7490, 0.2464], [0.2513, 0.2513, 0.2513], [0.2510, 0.7536, 0.7536], [0.7490, 0.2464, 0.2464], [0.7487, 0.7487, 0.7487], [0.7536, 0.2510, 0.7536], [0.7536, 0.7536, 0.2510]]}

***

{"formula": "NdScGa2", "functional": "PBE", "state": "relaxed", "e_form_ev_per_atom": -0.547, "magmom_total_mub_per_atom": 0.0000, "space_group": "No. 225", "e_tot_ev_per_atom": -4.84, "relative_energy_mev_per_atom": 31, "cell": [[0.0000, 3.5371, 3.5371], [3.5371, 0.0000, 3.5371], [3.5371, 3.5371, 0.0000]], "species": ["Nd", "Sc", "Ga", "Ga"], "fractional_positions": [[0.0000, 0.0000, 0.0000], [0.5000, 0.5000, 0.5000], [0.2500, 0.2500, 0.2500], [0.7500, 0.7500, 0.7500]]}